Entry 1:
A relaxed structure of AcPmGePt. Source: Alexandria, functional PBE.

The space group is P4/nmm (No. 129, origin choice 2) and the conventional cell measures 4.8330, 4.8330 and 10.5317 Å, with angles of 90.00, 90.00 and 90.00 degrees. Symmetry generates all atoms from Ac at (0.2500, 0.2500, 0.1683), Pm at (0.2500, 0.7500, 0.5000), Ge at (0.2500, 0.2500, 0.8794) and Pt at (0.2500, 0.2500, 0.6524).

The energy relative to the lowest polymorph listed for this composition is 0.067 eV/atom. As for the formation energy: -720 meV/atom. The crystal system is tetragonal. The value obtained for the total energy is -22.4 eV/f.u.

---

Entry 2:
A relaxed structure of AlCo2Si. Source: Alexandria, functional PBE.

The space group is C2/m (No. 12) and the conventional cell measures 7.6831, 2.6788 and 4.6375 Å, with angles of 90.00, 101.35 and 90.00 degrees. Symmetry generates all atoms from Al at (0.0000, 0.0000, 0.0000), Co at (0.2448, 0.0000, 0.7360) and Si at (0.0000, 0.5000, 0.5000).

The crystal system is monoclinic. The value obtained for the total energy is -24.7 eV/f.u. The calculation puts the uncorrected formation energy at -335 meV/atom.

---

Entry 3:
A relaxed structure of La2Y2Cu. Source: Alexandria, functional PBE.

The space group is P4/mbm (No. 127) and the conventional cell measures 7.4651, 7.4651 and 5.6776 Å, with angles of 90.00, 90.00 and 90.00 degrees. Symmetry generates all atoms from La at (0.1595, 0.3405, 0.0000), Y at (0.1553, 0.6553, 0.5000) and Cu at (0.0000, 0.0000, 0.5000).

The energy relative to the lowest polymorph listed for this composition is 0.000 eV/atom. As for the formation energy: 116 meV/atom. The crystal system is tetragonal. The value obtained for the total energy is -26.3 eV/f.u.

---

What is the formula in the second record? AlCo2Si

---

The highest total energy belongs to which entry? AcPmGePt

---

Which of these has the highest total energy? AcPmGePt